{"formula": "Cs3In2I2Br4", "functional": "PBE", "state": "optimized geometry", "cell": [[-2.977, 2.977, 14.525], [2.977, -2.977, 14.525], [2.977, 2.977, -14.525]], "species": ["Cs", "Cs", "Cs", "In", "In", "I", "I", "Br", "Br", "Br", "Br"], "fractional_positions": [[0.000, 0.000, 0.000], [0.170, 0.170, 0.000], [0.830, 0.830, 0.000], [0.410, 0.410, 0.000], [0.590, 0.590, 0.000], [0.305, 0.305, 0.000], [0.695, 0.695, 0.000], [0.081, 0.581, 0.500], [0.419, 0.919, 0.500], [0.581, 0.081, 0.500], [0.919, 0.419, 0.500]], "magmom_total_mub_per_cell": 0.00, "n_ef_per_ev_cell": 3.280, "e_form_raw_ev_per_atom": -1.224, "total_energy_ev_per_cell": -31.30}